Record 1
A plane-wave DFT calculation with PBEsol was carried out for a geometry-optimized CaTaRh2 structure.

Results
Density of states at the Fermi level in states/eV/atom: 0.447
Calculated density in g/cm³: 9.50
M_tot in μB per formula unit: 0.000
Final energy in eV per formula unit: -31.4

Cell: 3.2927 3.2927 23.8476 Å, 90.00 90.00 120.00°
Last column: nearest neighbours and their distance in Å.
Atoms (fractional coordinates):
1 Ca 0.0000 0.0000 0.0000  6 Rh 2.96, 6 Ca 3.29
2 Ca 0.3333 0.6667 0.6667  6 Rh 2.96, 6 Ca 3.29
3 Ca 0.6667 0.3333 0.3333  6 Rh 2.96, 6 Ca 3.29
4 Ta 0.0000 0.0000 0.5000  6 Rh 2.55
5 Ta 0.3333 0.6667 0.1667  6 Rh 2.55
6 Ta 0.6667 0.3333 0.8333  6 Rh 2.55
7 Rh 0.0000 0.0000 0.2380  3 Ta 2.55
8 Rh 0.0000 0.0000 0.7620  3 Ta 2.55
9 Rh 0.3333 0.6667 0.4286  3 Ta 2.55
10 Rh 0.3333 0.6667 0.9047  3 Ta 2.55
11 Rh 0.6667 0.3333 0.0953  3 Ta 2.55
12 Rh 0.6667 0.3333 0.5714  3 Ta 2.55

Record 2
A plane-wave DFT calculation with PBEsol was carried out for a geometry-optimized MnFeAgPd2 structure.

Results
Density of states at the Fermi level in states/eV/atom: 0.824
Calculated density in g/cm³: 8.63
M_tot in μB per formula unit: 3.816
Final energy in eV per formula unit: -29.3

Cell: 4.5605 4.5605 3.9909 Å, 90.00 90.00 90.00°
Last column: nearest neighbours and their distance in Å.
Atoms (fractional coordinates):
1 Mn 0.0000 0.0000 0.0000  2 Fe 2.00
2 Fe 0.0000 0.0000 0.5000  2 Mn 2.00
3 Ag 0.5000 0.5000 0.0000  8 Pd 3.03, 4 Mn 3.22
4 Pd 0.0000 0.5000 0.5000  2 Fe 2.28
5 Pd 0.5000 0.0000 0.5000  2 Fe 2.28

Record 3
A plane-wave DFT calculation with PBEsol was carried out for a geometry-optimized ZnCr3Au structure.

Results
Density of states at the Fermi level in states/eV/atom: 1.324
Calculated density in g/cm³: 7.20
Offset from the most stable computed form in meV/atom: 0
M_tot in μB per formula unit: 12.248
Final energy in eV per formula unit: -28.9

Cell: 4.5868 4.5868 4.5868 Å, 90.00 90.00 90.00°
Last column: nearest neighbours and their distance in Å.
Atoms (fractional coordinates):
1 Zn 0.0000 0.0000 0.0000  6 Cr 2.29
2 Cr 0.0000 0.0000 0.5000  2 Zn 2.29
3 Cr 0.0000 0.5000 0.0000  2 Zn 2.29
4 Cr 0.5000 0.0000 0.0000  2 Zn 2.29
5 Au 0.5000 0.5000 0.5000  12 Cr 3.24

Record 4
A plane-wave DFT calculation with PBEsol was carried out for a geometry-optimized TaTiS2 structure.

Results
Density of states at the Fermi level in states/eV/atom: 1.369
Calculated density in g/cm³: 6.20
Uncorrected formation energy in eV per atom: -0.5116
M_tot in μB per formula unit: 0.003
Final energy in eV per formula unit: -31.7

Cell: 5.5010 5.5010 10.3688 Å, 90.00 90.00 90.00°
Last column: nearest neighbours and their distance in Å.
Atoms (fractional coordinates):
1 Ta 0.0000 0.0000 0.0000  4 S 2.35
2 Ta 0.0000 0.5000 0.2500  4 S 2.35
3 Ta 0.5000 0.0000 0.7500  4 S 2.35
4 Ta 0.5000 0.5000 0.5000  4 S 2.35
5 Ti 0.0000 0.0000 0.5000  4 S 2.32
6 Ti 0.0000 0.5000 0.7500  4 S 2.32
7 Ti 0.5000 0.0000 0.2500  4 S 2.32
8 Ti 0.5000 0.5000 0.0000  4 S 2.32
9 S 0.2448 0.2500 0.6250  2 Ti 2.32, 2 Ta 2.35
10 S 0.2500 0.7448 0.8750  2 Ti 2.32, 2 Ta 2.35
11 S 0.2500 0.7552 0.3750  2 Ti 2.32, 2 Ta 2.35
12 S 0.2552 0.2500 0.1250  2 Ti 2.32, 2 Ta 2.35
13 S 0.7448 0.7500 0.1250  2 Ti 2.32, 2 Ta 2.35
14 S 0.7500 0.2448 0.3750  2 Ti 2.32, 2 Ta 2.35
15 S 0.7500 0.2552 0.8750  2 Ti 2.32, 2 Ta 2.35
16 S 0.7552 0.7500 0.6250  2 Ti 2.32, 2 Ta 2.35

Record 5
A plane-wave DFT calculation with PBEsol was carried out for a geometry-optimized Ag5Hg structure.

Results
Density of states at the Fermi level in states/eV/atom: 0.258
Calculated density in g/cm³: 11.88
Offset from the most stable computed form in meV/atom: 2
M_tot in μB per formula unit: 0.000
Final energy in eV per formula unit: -17.1

Cell: 4.7086 2.9772 14.7557 Å, 90.00 90.00 90.00°
Last column: nearest neighbours and their distance in Å.
Atoms (fractional coordinates):
1 Ag 0.0000 0.0000 0.0000  10 Ag 2.84-2.98, 2 Hg 2.93
2 Ag 0.0000 0.0000 0.3293  8 Ag 2.85-2.98, 4 Hg 2.89
3 Ag 0.0000 0.0000 0.6643  12 Ag 2.84-2.98
4 Ag 0.0000 0.5000 0.1643  12 Ag 2.84-2.98
5 Ag 0.0000 0.5000 0.5000  10 Ag 2.84-2.98, 2 Hg 2.93
6 Ag 0.0000 0.5000 0.8293  8 Ag 2.85-2.98, 4 Hg 2.89
7 Ag 0.5000 0.0000 0.2123  10 Ag 2.81-2.98, 2 Hg 2.91
8 Ag 0.5000 0.0000 0.5506  10 Ag 2.81-2.98, 2 Hg 2.90
9 Ag 0.5000 0.5000 0.0506  10 Ag 2.81-2.98, 2 Hg 2.90
10 Ag 0.5000 0.5000 0.7123  10 Ag 2.81-2.98, 2 Hg 2.91
11 Hg 0.5000 0.0000 0.8820  10 Ag 2.89-2.93, 2 Hg 2.98
12 Hg 0.5000 0.5000 0.3820  10 Ag 2.89-2.93, 2 Hg 2.98

Record 6
A plane-wave DFT calculation with PBEsol was carried out for a geometry-optimized CsBiF2 structure.

Results
Density of states at the Fermi level in states/eV/atom: 0.781
Calculated density in g/cm³: 7.26
Uncorrected formation energy in eV per atom: -1.2646
M_tot in μB per formula unit: 1.946
Final energy in eV per formula unit: -14.1

Cell: 7.0316 7.0316 7.0316 Å, 90.00 90.00 90.00°
Last column: nearest neighbours and their distance in Å.
Atoms (fractional coordinates):
1 Cs 0.0000 0.0000 0.0000  8 F 3.04
2 Cs 0.0000 0.5000 0.5000  8 F 3.04
3 Cs 0.5000 0.0000 0.5000  8 F 3.04
4 Cs 0.5000 0.5000 0.0000  8 F 3.04
5 Bi 0.0000 0.0000 0.5000  8 F 3.04
6 Bi 0.0000 0.5000 0.0000  8 F 3.04
7 Bi 0.5000 0.0000 0.0000  8 F 3.04
8 Bi 0.5000 0.5000 0.5000  8 F 3.04
9 F 0.2500 0.2500 0.2500  4 Bi 3.04, 4 Cs 3.04
10 F 0.2500 0.2500 0.7500  4 Bi 3.04, 4 Cs 3.04
11 F 0.2500 0.7500 0.2500  4 Bi 3.04, 4 Cs 3.04
12 F 0.2500 0.7500 0.7500  4 Bi 3.04, 4 Cs 3.04
13 F 0.7500 0.2500 0.2500  4 Bi 3.04, 4 Cs 3.04
14 F 0.7500 0.2500 0.7500  4 Bi 3.04, 4 Cs 3.04
15 F 0.7500 0.7500 0.2500  4 Bi 3.04, 4 Cs 3.04
16 F 0.7500 0.7500 0.7500  4 Bi 3.04, 4 Cs 3.04

Record 7
A plane-wave DFT calculation with PBEsol was carried out for a geometry-optimized YCu6ClO8 structure.

Results
Density of states at the Fermi level in states/eV/atom: 0.641
Calculated density in g/cm³: 5.52
Uncorrected formation energy in eV per atom: -1.0960
M_tot in μB per formula unit: 0.005
Final energy in eV per formula unit: -94.4

Cell: 6.4603 6.4603 6.4603 Å, 60.00 60.00 60.00°
Last column: nearest neighbours and their distance in Å.
Atoms (fractional coordinates):
1 Y 0.0000 0.0000 0.0000  8 O 2.29
2 Cu 0.0000 0.0000 0.5000  4 O 1.90
3 Cu 0.0000 0.5000 0.0000  4 O 1.90
4 Cu 0.0000 0.5000 0.5000  4 O 1.90
5 Cu 0.5000 0.0000 0.0000  4 O 1.90
6 Cu 0.5000 0.0000 0.5000  4 O 1.90
7 Cu 0.5000 0.5000 0.0000  4 O 1.90
8 Cl 0.5000 0.5000 0.5000  12 Cu 3.23
9 O 0.1447 0.1447 0.1447  3 Cu 1.90
10 O 0.1447 0.1447 0.5659  3 Cu 1.90
11 O 0.1447 0.5659 0.1447  3 Cu 1.90
12 O 0.4341 0.8553 0.8553  3 Cu 1.90
13 O 0.5659 0.1447 0.1447  3 Cu 1.90
14 O 0.8553 0.4341 0.8553  3 Cu 1.90
15 O 0.8553 0.8553 0.4341  3 Cu 1.90
16 O 0.8553 0.8553 0.8553  3 Cu 1.90

Record 8
A plane-wave DFT calculation with PBEsol was carried out for a geometry-optimized TaNiGeMo2 structure.

Results
Density of states at the Fermi level in states/eV/atom: 0.772
Calculated density in g/cm³: 9.54
M_tot in μB per formula unit: 0.000
Final energy in eV per formula unit: -41.6

Cell: 4.4162 4.4162 4.4983 Å, 90.00 90.00 90.00°
Last column: nearest neighbours and their distance in Å.
Atoms (fractional coordinates):
1 Ta 0.0000 0.0000 0.0000  2 Ni 2.25
2 Ni 0.0000 0.0000 0.5000  4 Mo 2.21, 2 Ta 2.25
3 Ge 0.5000 0.5000 0.0000  4 Ta 3.12, 8 Mo 3.15
4 Mo 0.0000 0.5000 0.5000  2 Ni 2.21
5 Mo 0.5000 0.0000 0.5000  2 Ni 2.21

Record 9
A plane-wave DFT calculation with PBEsol was carried out for a geometry-optimized SbICl8 structure.

Results
Calculated density in g/cm³: 2.91
Uncorrected formation energy in eV per atom: -0.4689
M_tot in μB per formula unit: 0.000
Final energy in eV per formula unit: -27.1

Cell: 7.1226 7.1226 23.9360 Å, 90.00 90.00 90.00°
Last column: nearest neighbours and their distance in Å.
Atoms (fractional coordinates):
1 Sb 0.0069 0.2335 0.0000  6 Cl 2.35-2.53
2 Sb 0.2335 0.9931 0.7500  6 Cl 2.35-2.53
3 Sb 0.7665 0.0069 0.2500  6 Cl 2.35-2.53
4 Sb 0.9931 0.7665 0.5000  6 Cl 2.35-2.53
5 I 0.1383 0.7633 0.1195  2 Cl 2.36
6 I 0.2367 0.1383 0.3695  2 Cl 2.36
7 I 0.7633 0.8617 0.8695  2 Cl 2.36
8 I 0.8617 0.2367 0.6195  2 Cl 2.36
9 Cl 0.0497 0.8044 0.6907  1 Sb 2.35
10 Cl 0.0693 0.8991 0.2932  1 Sb 2.51, 1 I 2.77
11 Cl 0.0848 0.5106 0.9522  1 Sb 2.35
12 Cl 0.1009 0.0693 0.5432  1 Sb 2.51, 1 I 2.77
13 Cl 0.1761 0.2643 0.6838  1 Sb 2.53, 1 I 2.72
14 Cl 0.1956 0.0497 0.9407  1 Sb 2.35
15 Cl 0.2225 0.3975 0.3084  1 I 2.36
16 Cl 0.2223 0.6134 0.5546  1 Sb 2.36
17 Cl 0.2403 0.2650 0.0687  1 Sb 2.35
18 Cl 0.2643 0.8239 0.4338  1 Sb 2.53, 1 I 2.72
19 Cl 0.2650 0.7597 0.8187  1 Sb 2.35
20 Cl 0.3024 0.5887 0.1875  1 I 2.36
21 Cl 0.3866 0.2223 0.8046  1 Sb 2.36
22 Cl 0.3975 0.7775 0.0584  1 I 2.36
23 Cl 0.4113 0.3024 0.4375  1 I 2.36
24 Cl 0.4894 0.0848 0.2022  1 Sb 2.35
25 Cl 0.5106 0.9152 0.7022  1 Sb 2.35
26 Cl 0.5887 0.6976 0.9375  1 I 2.36
27 Cl 0.6025 0.2225 0.5584  1 I 2.36
28 Cl 0.6134 0.7777 0.3046  1 Sb 2.36
29 Cl 0.6976 0.4113 0.6875  1 I 2.36
30 Cl 0.7350 0.2403 0.3187  1 Sb 2.35
31 Cl 0.7357 0.1761 0.9338  1 Sb 2.53, 1 I 2.72
32 Cl 0.7597 0.7350 0.5687  1 Sb 2.35
33 Cl 0.7777 0.3866 0.0546  1 Sb 2.36
34 Cl 0.7775 0.6025 0.8084  1 I 2.36
35 Cl 0.8044 0.9503 0.4407  1 Sb 2.35
36 Cl 0.8239 0.7357 0.1838  1 Sb 2.53, 1 I 2.72
37 Cl 0.8991 0.9307 0.0432  1 Sb 2.51, 1 I 2.77
38 Cl 0.9152 0.4894 0.4522  1 Sb 2.35
39 Cl 0.9307 0.1009 0.7932  1 Sb 2.51, 1 I 2.77
40 Cl 0.9503 0.1956 0.1907  1 Sb 2.35

Record 10
A plane-wave DFT calculation with PBEsol was carried out for a geometry-optimized RbTaAgGe2 structure.

Results
Density of states at the Fermi level in states/eV/atom: 1.037
Calculated density in g/cm³: 6.62
M_tot in μB per formula unit: 2.618
Final energy in eV per formula unit: -19.2

Cell: 4.9291 4.9291 5.3658 Å, 90.00 90.00 90.00°
Last column: nearest neighbours and their distance in Å.
Atoms (fractional coordinates):
1 Rb 0.0000 0.0000 0.0000  2 Ag 2.68
2 Ta 0.5000 0.5000 0.0000  4 Rb 3.49, 8 Ge 3.64
3 Ag 0.0000 0.0000 0.5000  4 Ge 2.46, 2 Rb 2.68
4 Ge 0.0000 0.5000 0.5000  2 Ag 2.46
5 Ge 0.5000 0.0000 0.5000  2 Ag 2.46